(1)
! PBE PIr2, optimized geometry; values from VASP
! Theoretical density = 15794 kg/m3
! Final energy = -8.11 eV/atom
&SYSTEM
  ibrav = 0, nat = 3, ntyp = 2
/
ATOMIC_SPECIES
P 30.97 P.upf
Ir 192.22 Ir.upf
ATOMIC_POSITIONS angstrom
P 0.000 0.000 0.000
Ir 1.398 1.398 1.398
Ir 4.193 4.193 4.193
CELL_PARAMETERS angstrom
0.000 2.795 2.795
2.795 0.000 2.795
2.795 2.795 0.000

---

(2)
! PBE Zn2Te2PbF2, optimized geometry; values from VASP
! Theoretical density = 7196 kg/m3
! Final energy = -3.15 eV/atom
&SYSTEM
  ibrav = 0, nat = 7, ntyp = 4
/
ATOMIC_SPECIES
Zn 65.41 Zn.upf
Te 127.60 Te.upf
Pb 207.20 Pb.upf
F 19.00 F.upf
ATOMIC_POSITIONS angstrom
Zn 0.000 1.902 1.249
Zn 1.902 0.000 8.818
Te 0.000 1.902 7.435
Te 1.902 0.000 2.632
Pb 0.000 0.000 5.034
F 0.000 0.000 0.000
F 1.902 1.902 0.000
CELL_PARAMETERS angstrom
3.804 0.000 0.000
0.000 3.804 0.000
0.000 0.000 10.067

---

What did the second record say?
! PBE Zn2Te2PbF2, optimized geometry; values from VASP
! Theoretical density = 7196 kg/m3
! Final energy = -3.15 eV/atom
&SYSTEM
  ibrav = 0, nat = 7, ntyp = 4
/
ATOMIC_SPECIES
Zn 65.41 Zn.upf
Te 127.60 Te.upf
Pb 207.20 Pb.upf
F 19.00 F.upf
ATOMIC_POSITIONS angstrom
Zn 0.000 1.902 1.249
Zn 1.902 0.000 8.818
Te 0.000 1.902 7.435
Te 1.902 0.000 2.632
Pb 0.000 0.000 5.034
F 0.000 0.000 0.000
F 1.902 1.902 0.000
CELL_PARAMETERS angstrom
3.804 0.000 0.000
0.000 3.804 0.000
0.000 0.000 10.067

---

What is the final energy in the second record? -3.15 eV/atom